(1)
! PuZnAu2O8 (PBE-GGA, optimized geometry); values from VASP
! - formation energy without anion corrections (eV/atom) = -0.680
! - magnetization (Bohr magnetons per cell) = 0.000
! - VASP energy (eV per atom) = -5.833
! - density of states at the Fermi level (states/eV/f.u.) = 0.17
&SYSTEM
  ibrav = 0, nat = 12, ntyp = 4
/
ATOMIC_SPECIES
Pu 244.00 Pu.upf
Zn 65.41 Zn.upf
Au 196.97 Au.upf
O 16.00 O.upf
CELL_PARAMETERS angstrom
-2.610 -0.928 -5.260
-3.148 -3.520 3.612
-0.052 5.707 1.664
ATOMIC_POSITIONS crystal
Pu 0.000 0.000 0.000
Zn 0.250 0.750 0.500
Au 0.750 0.250 0.500
Au 0.500 0.500 0.000
O 0.314 0.020 0.294
O 0.286 0.469 0.182
O 0.286 0.104 0.818
O 0.726 0.020 0.706
O 0.896 0.714 0.182
O 0.980 0.274 0.294
O 0.980 0.686 0.706
O 0.531 0.714 0.818

---

(2)
! Pm5SmOs2 (PBE-GGA, optimized geometry); values from VASP
! - magnetization (Bohr magnetons per cell) = 0.002
! - energy relative to the elements (eV per atom) = 0.123
! - VASP energy (eV per atom) = -6.243
! - density of states at the Fermi level (states/eV/f.u.) = 8.55
&SYSTEM
  ibrav = 0, nat = 8, ntyp = 3
/
ATOMIC_SPECIES
Pm 145.00 Pm.upf
Sm 150.36 Sm.upf
Os 190.23 Os.upf
CELL_PARAMETERS angstrom
-3.831 -2.987 0.566
1.429 -6.450 -3.240
1.431 -4.821 5.372
ATOMIC_POSITIONS crystal
Pm 0.000 0.500 0.500
Pm 0.666 0.524 0.145
Pm 0.334 0.476 0.855
Pm 0.334 0.855 0.476
Pm 0.666 0.145 0.524
Sm 0.000 0.000 0.000
Os 0.724 0.776 0.776
Os 0.276 0.224 0.224

---

(3)
! Pm10HoSc6 (PBE-GGA, optimized geometry); values from VASP
! - magnetization (Bohr magnetons per cell) = 0.000
! - energy relative to the elements (eV per atom) = 0.138
! - VASP energy (eV per atom) = -5.161
! - density of states at the Fermi level (states/eV/f.u.) = 27.66
&SYSTEM
  ibrav = 0, nat = 17, ntyp = 3
/
ATOMIC_SPECIES
Pm 145.00 Pm.upf
Ho 164.93 Ho.upf
Sc 44.96 Sc.upf
CELL_PARAMETERS angstrom
6.719 0.000 0.000
0.000 8.247 -4.761
0.000 0.000 9.522
ATOMIC_POSITIONS crystal
Pm 0.823 0.718 0.718
Pm 0.823 0.000 0.282
Pm 0.823 0.282 0.000
Pm 0.177 0.282 0.282
Pm 0.177 0.000 0.718
Pm 0.177 0.718 0.000
Pm 0.500 0.333 0.667
Pm 0.500 0.667 0.333
Pm 0.000 0.667 0.333
Pm 0.000 0.333 0.667
Ho 0.500 0.000 0.000
Sc 0.671 0.359 0.359
Sc 0.671 0.000 0.641
Sc 0.671 0.641 0.000
Sc 0.329 0.641 0.641
Sc 0.329 0.000 0.359
Sc 0.329 0.359 0.000